Lu2Nb4Ni3C3: optimized geometry, PBE-GGA.

Calculated values
SG: C2/c (15)
Calculated total energy in eV/f.u.: -98.99

```
24
Lattice="-2.681 -3.009 3.714 5.427 -0.526 -0.549 1.722 11.711 6.840" Properties=species:S:1:pos:R:3 pbc="T T T"
Lu 3.305 9.264 6.705
Lu 2.917 6.850 4.346
Lu 1.552 1.326 5.659
Lu 1.164 -1.088 3.299
Nb 2.828 4.318 6.355
Nb 3.748 -0.601 1.587
Nb 3.388 7.451 9.268
Nb 4.367 2.457 4.567
Nb 1.081 0.725 0.736
Nb 0.102 5.719 5.437
Nb 0.720 8.777 8.417
Nb 1.641 3.858 3.649
C -0.013 -1.079 1.139
C 0.861 5.856 3.420
C 0.883 3.693 5.691
C 2.760 -2.456 2.025
C 2.714 -0.263 -0.275
C 3.585 4.483 4.313
Ni 1.780 6.597 7.331
Ni 4.486 6.287 7.110
Ni 5.761 7.818 5.240
Ni -0.017 1.889 2.894
Ni 2.689 1.579 2.673
Ni -1.293 0.358 4.764
```